(1)
Density functional theory data (PBE) for an optimized crystal structure of Tb2Pd5.

## Properties
Its density of states at the Fermi level is 2.1 states/eV/f.u. The calculation puts the total energy at -5.852 eV/atom. As for the density: 10.7 Mg/m³.

Unit cell a=7.258 b=7.258 c=5.888 alpha=90.00 beta=90.00 gamma=121.88
Element x y z (fractional)
1 Tb 0.093 0.299 0.000
2 Tb 0.299 0.093 0.500
3 Tb 0.701 0.907 0.500
4 Tb 0.907 0.701 0.000
5 Pd 0.102 0.354 0.500
6 Pd 0.267 0.733 0.250
7 Pd 0.267 0.733 0.750
8 Pd 0.354 0.102 0.000
9 Pd 0.500 0.500 0.250
10 Pd 0.500 0.500 0.750
11 Pd 0.646 0.898 0.000
12 Pd 0.733 0.267 0.250
13 Pd 0.733 0.267 0.750
14 Pd 0.898 0.646 0.500

---

(2)
Density functional theory data (PBE) for an optimized crystal structure of Tb4Pd3.

## Properties
Its density of states at the Fermi level is 5.2 states/eV/f.u. The calculation puts the total energy at -5.572 eV/atom. As for the density: 9.2 Mg/m³.

Unit cell a=8.599 b=8.599 c=8.599 alpha=33.40 beta=33.40 gamma=33.40
Element x y z (fractional)
1 Tb 0.125 0.125 0.125
2 Tb 0.375 0.375 0.375
3 Tb 0.625 0.625 0.625
4 Tb 0.875 0.875 0.875
5 Pd 0.251 0.251 0.251
6 Pd 0.500 0.500 0.500
7 Pd 0.749 0.749 0.749

---

(3)
Density functional theory data (PBE) for an optimized crystal structure of Tb2TcPd.

## Properties
Its density of states at the Fermi level is 3.9 states/eV/f.u. The calculation puts the total energy at -6.609 eV/atom. As for the density: 10.3 Mg/m³.

Unit cell a=3.503 b=3.503 c=6.860 alpha=90.00 beta=90.00 gamma=90.00
Element x y z (fractional)
1 Tb 0.000 0.000 0.242
2 Tb 0.000 0.000 0.758
3 Tc 0.500 0.500 0.000
4 Pd 0.500 0.500 0.500